Below is Li8ZnCd6 after structural relaxation, with properties calculated at the PBE level.

Cell and atoms, written as POSCAR:
```
Li8ZnCd6
1.0
8.032 0.000 0.000
4.016 6.956 0.000
4.016 2.319 5.046
Li Zn Cd
8 1 6
direct
0.633 0.137 0.281
0.863 0.051 0.719
0.051 0.367 0.719
0.748 0.748 0.757
0.252 0.252 0.243
0.949 0.633 0.281
0.137 0.949 0.281
0.367 0.863 0.719
0.000 0.000 0.000
0.442 0.169 0.762
0.831 0.374 0.238
0.374 0.558 0.238
0.626 0.442 0.762
0.169 0.626 0.762
0.558 0.831 0.238
```

Output
The energy of formation is -134.7 meV per atom. Its calculated volume is 18.80 Å³/atom. The value obtained for the density of states at the Fermi level is 6.0 states/eV/f.u. The total magnetization comes out at 0.000 μB/cell. As for the total DFT energy (no corrections): -1.606 eV per atom. As for the mass density: 4685 kg/m3.